This record from the Alexandria database describes crystalline BaCu2Hg2 at its relaxed geometry. The functional is PBE.

Structure (CIF):
```
data_BaCu2Hg2
_chemical_formula_sum 'Ba2 Cu4 Hg4'
_symmetry_space_group_name_H-M 'I 4/m m m'
_symmetry_Int_Tables_number 139
_symmetry_space_group_name_Hall '-I 4 2'
_cell_length_a 4.880
_cell_length_b 4.880
_cell_length_c 10.415
_cell_angle_alpha 90.00
_cell_angle_beta 90.00
_cell_angle_gamma 90.00
loop_
_atom_site_label
_atom_site_type_symbol
_atom_site_fract_x
_atom_site_fract_y
_atom_site_fract_z
Ba1 Ba 0.000 0.000 0.000
Cu1 Cu 0.000 0.500 0.250
Hg1 Hg 0.000 0.000 0.356
```

Values from the calculation:
For the total DFT energy (no corrections), the calculation gives -2.283 eV/atom. The calculation puts the energy above the most stable polymorph in this dataset at 0.003 eV per atom.

This record from the Alexandria database describes crystalline Ba2Cu2Hg at its relaxed geometry. The functional is PBE.

Structure (CIF):
```
data_Ba2Cu2Hg
_chemical_formula_sum 'Ba4 Cu4 Hg2'
_symmetry_space_group_name_H-M 'I 4/m m m'
_symmetry_Int_Tables_number 139
_symmetry_space_group_name_Hall '-I 4 2'
_cell_length_a 3.814
_cell_length_b 3.814
_cell_length_c 19.982
_cell_angle_alpha 90.00
_cell_angle_beta 90.00
_cell_angle_gamma 90.00
loop_
_atom_site_label
_atom_site_type_symbol
_atom_site_fract_x
_atom_site_fract_y
_atom_site_fract_z
Ba1 Ba 0.000 0.000 0.115
Cu1 Cu 0.000 0.500 0.250
Hg1 Hg 0.000 0.000 0.500
```

Values from the calculation:
For the total DFT energy (no corrections), the calculation gives -2.488 eV/atom. The calculation puts the energy above the most stable polymorph in this dataset at 0.109 eV per atom.

This record from the Alexandria database describes crystalline BaCu2Hg2 at its relaxed geometry. The functional is PBE.

Structure (CIF):
```
data_BaCu2Hg2
_chemical_formula_sum 'Ba2 Cu4 Hg4'
_symmetry_space_group_name_H-M 'P 4/m b m'
_symmetry_Int_Tables_number 127
_symmetry_space_group_name_Hall '-P 4 2ab'
_cell_length_a 8.312
_cell_length_b 8.312
_cell_length_c 3.394
_cell_angle_alpha 90.00
_cell_angle_beta 90.00
_cell_angle_gamma 90.00
loop_
_atom_site_label
_atom_site_type_symbol
_atom_site_fract_x
_atom_site_fract_y
_atom_site_fract_z
Ba1 Ba 0.000 0.000 0.000
Cu1 Cu 0.170 0.330 0.500
Hg1 Hg 0.125 0.625 0.000
```

Values from the calculation:
For the total DFT energy (no corrections), the calculation gives -2.002 eV/atom. The calculation puts the energy above the most stable polymorph in this dataset at 0.283 eV per atom.

Number 1: calculated formation energy -0.70 eV per formula unit. Number 2: calculated formation energy -0.10 eV per formula unit. Number 3: calculated formation energy 0.71 eV per formula unit.